# Nd2Ho4Th | Alexandria | PBE | optimized geometry
# size of the total moment	0.00	μB/cell
# formation energy from the elements	0.75	eV/atom
# crystal system	tetragonal
data_Nd2Ho4Th
_chemical_formula_sum 'Nd4 Ho8 Th2'
_symmetry_space_group_name_H-M 'I 4/m m m'
_symmetry_Int_Tables_number 139
_symmetry_space_group_name_Hall '-I 4 2'
_cell_length_a 5.699
_cell_length_b 5.699
_cell_length_c 16.958
_cell_angle_alpha 90.00
_cell_angle_beta 90.00
_cell_angle_gamma 90.00
loop_
_atom_site_label
_atom_site_type_symbol
_atom_site_fract_x
_atom_site_fract_y
_atom_site_fract_z
_atom_site_occupancy
Nd1 Nd 0.000 0.000 0.116 1
Ho1 Ho 0.000 0.000 0.320 1
Ho2 Ho 0.000 0.500 0.000 1
Th1 Th 0.000 0.000 0.500 1

***

# Rb2MgH5 | Alexandria | PBE | optimized geometry
# size of the total moment	4.02	μB/cell
# E_tot	-2.423	eV/atom
# crystal system	orthorhombic
data_Rb2MgH5
_chemical_formula_sum 'Rb8 Mg4 H20'
_symmetry_space_group_name_H-M 'C m c m'
_symmetry_Int_Tables_number 63
_symmetry_space_group_name_Hall '-C 2c 2'
_cell_length_a 4.263
_cell_length_b 13.584
_cell_length_c 11.697
_cell_angle_alpha 90.00
_cell_angle_beta 90.00
_cell_angle_gamma 90.00
loop_
_atom_site_label
_atom_site_type_symbol
_atom_site_fract_x
_atom_site_fract_y
_atom_site_fract_z
_atom_site_occupancy
Rb1 Rb 0.000 0.138 0.079 1
Mg1 Mg 0.000 0.158 0.750 1
H1 H 0.000 0.054 0.639 1
H2 H 0.000 0.251 0.627 1
H3 H 0.000 0.315 0.250 1